SiN2O2 PBE relaxed; distance to the lowest polymorph of the same formula = 0.0 meV per atom
1.0
3.3208 0.0000 0.0000
0.0000 3.3208 0.0000
0.0000 0.0000 4.1130
Si N O
1 2 2
direct
0.0000 0.0000 0.0000
0.0000 0.0000 0.5000
0.5000 0.5000 0.5000
0.0000 0.5000 0.0000
0.5000 0.0000 0.0000

---

First-principles (PBE) data for crystalline SiSnNO2 at its relaxed geometry, as listed in Alexandria via LeMat-Bulk.

POSCAR file:
```
SiSnNO2
1.0
3.5095 0.0000 0.0000
0.0000 3.5095 0.0000
0.0000 0.0000 4.0704
Si Sn N O
1 1 1 2
direct
0.0000 0.0000 0.0000
0.5000 0.5000 0.5000
0.0000 0.0000 0.5000
0.0000 0.5000 0.0000
0.5000 0.0000 0.0000
```

---

First-principles (PBE) data for crystalline SiSnNO2 at its relaxed geometry, as listed in Alexandria via LeMat-Bulk.

POSCAR file:
```
SiSnNO2
1.0
4.0366 0.0000 0.0000
0.0000 4.0366 0.0000
0.0000 0.0000 4.1933
Si Sn N O
1 1 1 2
direct
0.0000 0.0000 0.0000
0.5000 0.5000 0.5000
0.5000 0.5000 0.0000
0.0000 0.5000 0.5000
0.5000 0.0000 0.5000
```

---

First-principles (PBE) data for crystalline SiSnN2O at its relaxed geometry, as listed in Alexandria via LeMat-Bulk.

POSCAR file:
```
SiSnN2O
1.0
4.1880 0.0000 0.0000
0.0000 4.1880 0.0000
0.0000 0.0000 4.0447
Si Sn N O
1 1 2 1
direct
0.0000 0.0000 0.0000
0.5000 0.5000 0.5000
0.0000 0.5000 0.5000
0.5000 0.0000 0.5000
0.5000 0.5000 0.0000
```

---

First-principles (PBE) data for crystalline SiSnN2O at its relaxed geometry, as listed in Alexandria via LeMat-Bulk.

POSCAR file:
```
SiSnN2O
1.0
3.7786 0.0000 0.0000
0.0000 3.7786 0.0000
0.0000 0.0000 3.4907
Si Sn N O
1 1 2 1
direct
0.0000 0.0000 0.0000
0.5000 0.5000 0.5000
0.0000 0.5000 0.0000
0.5000 0.0000 0.0000
0.0000 0.0000 0.5000
```

---

First-principles (PBE) data for crystalline SrSiNO2 at its relaxed geometry, as listed in Alexandria via LeMat-Bulk.

POSCAR file:
```
SrSiNO2
1.0
4.5805 0.0000 0.0000
0.0000 4.5805 0.0000
0.0000 0.0000 4.7970
Sr Si N O
1 1 1 2
direct
0.0000 0.0000 0.0000
0.5000 0.5000 0.5000
0.0000 0.0000 0.5000
0.0000 0.5000 0.0000
0.5000 0.0000 0.0000
```

---

no.,final energy (eV per formula unit)
1,-28.567
2,-32.845
3,-26.828
4,-25.831
5,-32.134
6,-21.295